This record from the Alexandria database describes a relaxed structure of Ca2LaZr. The functional is GGA-PBE. Values from VASP.

* magnetization: 0.000 μB per cell
* DFT formation energy: 383 meV/atom
* distance to the lowest polymorph of the same formula: 206 meV/atom

Geometry as Quantum ESPRESSO input:
```
&SYSTEM
  ibrav = 0, nat = 4, ntyp = 3
/
ATOMIC_SPECIES
Ca 40.08 Ca.upf
La 138.91 La.upf
Zr 91.22 Zr.upf
CELL_PARAMETERS angstrom
0.000 4.055 4.055
4.055 0.000 4.055
4.055 4.055 0.000
ATOMIC_POSITIONS crystal
Ca 0.250 0.250 0.250
Ca 0.750 0.750 0.750
La 0.000 0.000 0.000
Zr 0.500 0.500 0.500
```


This record from the Alexandria database describes a relaxed structure of CaLaZr. The functional is GGA-PBE. Values from VASP.

* magnetization: 1.915 μB per cell
* DFT formation energy: 1071 meV/atom
* distance to the lowest polymorph of the same formula: 883 meV/atom

Geometry as Quantum ESPRESSO input:
```
&SYSTEM
  ibrav = 0, nat = 3, ntyp = 3
/
ATOMIC_SPECIES
Ca 40.08 Ca.upf
La 138.91 La.upf
Zr 91.22 Zr.upf
CELL_PARAMETERS angstrom
0.000 3.786 3.786
3.786 0.000 3.786
3.786 3.786 0.000
ATOMIC_POSITIONS crystal
Ca 0.000 0.000 0.000
La 0.750 0.750 0.750
Zr 0.500 0.500 0.500
```